The following is a DFT calculation (PBE) of a geometry-optimized Tb3Ho5In2 structure.

Summary:
energy relative to the elements	0.093	eV/atom
Fermi-level density of states	12.467	states/eV/f.u.
size of the total moment	0.00	μB/f.u.
space group	Ibam, No. 72

a b c (Å): 6.3345 10.5286 10.5286
angles (deg): 95.28 72.49 72.49
Fractional positions:
1 Tb 0.2500 0.0000 0.0000
2 Tb 0.7500 0.0000 0.0000
3 Tb 0.3873 0.3454 0.8801
4 Tb 0.6127 0.6546 0.1199
5 Tb 0.8873 0.8801 0.3454
6 Tb 0.1127 0.1199 0.6546
7 Ho 0.2500 0.5000 0.5000
8 Ho 0.7500 0.5000 0.5000
9 Ho 0.5010 0.7490 0.7490
10 Ho 0.9990 0.2510 0.2510
11 Ho 0.4990 0.2510 0.2510
12 Ho 0.0010 0.7490 0.7490
13 Ho 0.1246 0.5390 0.2118
14 Ho 0.8754 0.4610 0.7882
15 Ho 0.6246 0.2118 0.5390
16 Ho 0.3754 0.7882 0.4610
17 In 0.1351 0.7180 0.0119
18 In 0.8649 0.2820 0.9881
19 In 0.6351 0.0119 0.7180
20 In 0.3649 0.9881 0.2820

***

The following is a DFT calculation (PBE) of a geometry-optimized Tm2BPd4Pt2 structure.

Summary:
energy relative to the elements	-0.959	eV/atom
Fermi-level density of states	4.750	states/eV/f.u.
size of the total moment	0.00	μB/f.u.
space group	I4/mmm, No. 139

a b c (Å): 5.9222 5.9222 5.9222
angles (deg): 89.62 120.22 120.22
Fractional positions:
1 Tm 0.5000 0.7500 0.2500
2 Tm 0.5000 0.2500 0.7500
3 B 0.0000 0.0000 0.0000
4 Pd 0.0000 0.7407 0.2593
5 Pd 0.4814 0.7407 0.7407
6 Pd 0.0000 0.2593 0.7407
7 Pd 0.5186 0.2593 0.2593
8 Pt 0.0000 0.7497 0.7497
9 Pt 0.0000 0.2503 0.2503

***

The following is a DFT calculation (PBE) of a geometry-optimized Ac3Lu5Bi12 structure.

Summary:
energy relative to the elements	-0.191	eV/atom
Fermi-level density of states	10.982	states/eV/f.u.
size of the total moment	0.00	μB/f.u.
space group	Ia-3d, No. 230

a b c (Å): 16.2791 16.2791 16.2791
angles (deg): 109.47 109.47 109.47
Fractional positions:
1 Ac 0.7500 0.3750 0.1250
2 Ac 0.8750 0.7500 0.1250
3 Ac 0.3750 0.7500 0.6250
4 Ac 0.2500 0.1250 0.3750
5 Ac 0.8750 0.1250 0.2500
6 Ac 0.3750 0.6250 0.2500
7 Ac 0.6250 0.3750 0.7500
8 Ac 0.1250 0.8750 0.7500
9 Ac 0.7500 0.8750 0.6250
10 Ac 0.6250 0.2500 0.3750
11 Ac 0.1250 0.2500 0.8750
12 Ac 0.2500 0.6250 0.8750
13 Lu 0.1250 0.3750 0.2500
14 Lu 0.0000 0.5000 0.0000
15 Lu 0.0000 0.0000 0.0000
16 Lu 0.3750 0.2500 0.1250
17 Lu 0.5000 0.0000 0.5000
18 Lu 0.5000 0.5000 0.0000
19 Lu 0.1250 0.7500 0.3750
20 Lu 0.7500 0.1250 0.8750
21 Lu 0.7500 0.6250 0.3750
22 Lu 0.3750 0.1250 0.7500
23 Lu 0.6250 0.8750 0.2500
24 Lu 0.5000 0.5000 0.5000
25 Lu 0.5000 0.0000 0.0000
26 Lu 0.0000 0.0000 0.5000
27 Lu 0.2500 0.3750 0.6250
28 Lu 0.2500 0.8750 0.1250
29 Lu 0.0000 0.5000 0.5000
30 Lu 0.8750 0.2500 0.6250
31 Lu 0.6250 0.7500 0.8750
32 Lu 0.8750 0.6250 0.7500
33 Bi 0.7169 0.0924 0.0356
34 Bi 0.3188 0.5356 0.4432
35 Bi 0.9644 0.4076 0.2831
36 Bi 0.5356 0.2169 0.0924
37 Bi 0.6244 0.7169 0.6812
38 Bi 0.9644 0.5568 0.1812
39 Bi 0.3188 0.7831 0.3756
40 Bi 0.0568 0.8756 0.0924
41 Bi 0.5568 0.9644 0.6812
42 Bi 0.7169 0.6244 0.1812
43 Bi 0.7831 0.4644 0.4076
44 Bi 0.8188 0.9432 0.0356
45 Bi 0.0924 0.7169 0.5356
46 Bi 0.4076 0.4432 0.1244
47 Bi 0.1244 0.9432 0.4076
48 Bi 0.3756 0.0924 0.5568
49 Bi 0.1244 0.1812 0.2169
50 Bi 0.4644 0.6812 0.0568
51 Bi 0.8188 0.8756 0.2831
52 Bi 0.0924 0.3756 0.0568
53 Bi 0.4076 0.9644 0.7831
54 Bi 0.5568 0.5924 0.3756
55 Bi 0.9432 0.8188 0.5356
56 Bi 0.7831 0.3188 0.8756
57 Bi 0.4432 0.4076 0.6244
58 Bi 0.0568 0.1812 0.4644
59 Bi 0.2169 0.6812 0.1244
60 Bi 0.1812 0.1244 0.7169
61 Bi 0.5924 0.0356 0.2169
62 Bi 0.9076 0.6244 0.9432
63 Bi 0.5356 0.3188 0.9432
64 Bi 0.6244 0.9076 0.4432
65 Bi 0.8756 0.8188 0.7831
66 Bi 0.8756 0.0568 0.5924
67 Bi 0.9076 0.2831 0.4644
68 Bi 0.1812 0.0568 0.9644
69 Bi 0.5924 0.5568 0.8756
70 Bi 0.4432 0.0356 0.3188
71 Bi 0.2831 0.3756 0.8188
72 Bi 0.2169 0.5356 0.5924
73 Bi 0.9432 0.1244 0.9076
74 Bi 0.6812 0.2169 0.6244
75 Bi 0.4644 0.7831 0.9076
76 Bi 0.0356 0.4432 0.8188
77 Bi 0.3756 0.2831 0.3188
78 Bi 0.0356 0.5924 0.7169
79 Bi 0.6812 0.4644 0.5568
80 Bi 0.2831 0.9076 0.9644